Entry 1:
{
  "formula": "Cr2CoRuN",
  "functional": "PBE",
  "state": "relaxed",
  "lattice": [[-3.6802, 0.8600, 0.5064], [-0.9821, -2.7761, -2.4226], [-0.1744, -2.4233, 2.8476]],
  "species": ["Ru", "Cr", "N", "Co", "Cr"],
  "frac_coords": [[0.5000, 0.5000, 0.5000], [0.0000, 0.5000, 0.0000], [0.0000, 0.0000, 0.0000], [0.0000, 0.0000, 0.5000], [0.5000, 0.0000, 0.0000]],
  "dos_ef_per_ev_cell": 5.9
}

---

Entry 2:
{
  "formula": "CrCoSN2",
  "functional": "PBE",
  "state": "relaxed",
  "lattice": [[3.5815, 0.0000, 0.0000], [0.0000, 3.5815, 0.0000], [0.0000, 0.0000, 5.0328]],
  "species": ["N", "S", "Co", "Cr", "N"],
  "frac_coords": [[0.5000, 0.0000, 0.0000], [0.0000, 0.0000, 0.5000], [0.5000, 0.5000, 0.5000], [0.0000, 0.0000, 0.0000], [0.0000, 0.5000, 0.0000]],
  "dos_ef_per_ev_cell": 7.3
}

---

Entry 3:
{
  "formula": "CrCoSN2",
  "functional": "PBE",
  "state": "relaxed",
  "lattice": [[3.6023, 0.0000, 0.0000], [0.0000, 3.6023, 0.0000], [0.0000, 0.0000, 4.8205]],
  "species": ["N", "N", "Co", "Cr", "S"],
  "frac_coords": [[0.5000, 0.0000, 0.0000], [0.0000, 0.5000, 0.0000], [0.0000, 0.0000, 0.0000], [0.5000, 0.5000, 0.5000], [0.0000, 0.0000, 0.5000]],
  "dos_ef_per_ev_cell": 4.4
}

---

Entry 4:
{
  "formula": "Cr2CoSbN",
  "functional": "PBE",
  "state": "relaxed",
  "lattice": [[5.1279, 0.0000, 0.0000], [0.0000, 4.1281, 0.0000], [0.0000, 0.0000, 5.1279]],
  "species": ["Cr", "Cr", "Co", "Sb", "N"],
  "frac_coords": [[0.5000, 0.0000, 0.0000], [0.0000, 0.0000, 0.5000], [0.5000, 0.5000, 0.5000], [0.0000, 0.0000, 0.0000], [0.0000, 0.5000, 0.0000]],
  "dos_ef_per_ev_cell": 4.2
}

---

Entry 5:
{
  "formula": "CrCo2SbN",
  "functional": "PBE",
  "state": "relaxed",
  "lattice": [[4.6850, 0.0000, 0.0000], [0.0000, 4.9293, 0.0000], [0.0000, 0.0000, 4.6850]],
  "species": ["Cr", "Co", "N", "Co", "Sb"],
  "frac_coords": [[0.0000, 0.5000, 0.0000], [0.5000, 0.0000, 0.0000], [0.5000, 0.5000, 0.5000], [0.0000, 0.0000, 0.5000], [0.0000, 0.0000, 0.0000]],
  "dos_ef_per_ev_cell": 8.5
}

---

Entry 6:
{
  "formula": "CrCo2SbN",
  "functional": "PBE",
  "state": "relaxed",
  "lattice": [[3.8912, 0.0000, 0.0000], [0.0000, 3.8912, 0.0000], [0.0000, 0.0000, 3.8566]],
  "species": ["N", "Co", "Co", "Cr", "Sb"],
  "frac_coords": [[0.0000, 0.0000, 0.0000], [0.5000, 0.0000, 0.0000], [0.0000, 0.5000, 0.0000], [0.0000, 0.0000, 0.5000], [0.5000, 0.5000, 0.5000]],
  "dos_ef_per_ev_cell": 4.7
}

---

Entry 7:
{
  "formula": "Cr2CoSbN",
  "functional": "PBE",
  "state": "relaxed",
  "lattice": [[3.9086, 0.0000, 0.0000], [0.0000, 3.9086, 0.0000], [0.0000, 0.0000, 3.9407]],
  "species": ["Sb", "N", "Cr", "Co", "Cr"],
  "frac_coords": [[0.5000, 0.5000, 0.5000], [0.0000, 0.0000, 0.0000], [0.5000, 0.0000, 0.0000], [0.0000, 0.0000, 0.5000], [0.0000, 0.5000, 0.0000]],
  "dos_ef_per_ev_cell": 4.0
}

---

Entry 8:
{
  "formula": "CrCoSeN2",
  "functional": "PBE",
  "state": "relaxed",
  "lattice": [[-3.3980, -0.6401, 0.3203], [0.3363, -0.0558, 3.4558], [-1.2002, 6.4815, 0.2215]],
  "species": ["Se", "Cr", "Co", "N", "N"],
  "frac_coords": [[0.0000, 0.0000, 0.5000], [0.5000, 0.5000, 0.5000], [0.0000, 0.0000, 0.0000], [0.5000, 0.0000, 0.0000], [0.0000, 0.5000, 0.0000]],
  "dos_ef_per_ev_cell": 7.0
}

---

| no. | electronic total energy (eV per atom) |
| --- | --- |
| 1 | -8.866 |
| 2 | -6.855 |
| 3 | -6.641 |
| 4 | -5.857 |
| 5 | -4.754 |
| 6 | -7.253 |
| 7 | -7.833 |
| 8 | -6.152 |